Record 1
# FeCuAs2O8 PBE with a Hubbard U optimized geometry
data_FeCuAs2O8
_space_group_name_H-M_alt 'P 1'
_space_group_IT_number 1
_space_group_name_Hall 'P 1'
_cell_length_a 5.607
_cell_length_b 5.607
_cell_length_c 5.607
_cell_angle_alpha 108.30
_cell_angle_beta 108.30
_cell_angle_gamma 111.84
loop_
_atom_site_label
_atom_site_type_symbol
_atom_site_fract_x
_atom_site_fract_y
_atom_site_fract_z
Fe1 Fe 0.000 0.000 0.000
Cu1 Cu 0.250 0.750 0.500
As1 As 0.500 0.500 0.000
As2 As 0.750 0.250 0.500
O1 O 0.307 0.119 0.811
O2 O 0.307 0.496 0.189
O3 O 0.373 0.067 0.306
O4 O 0.504 0.693 0.811
O5 O 0.762 0.067 0.694
O6 O 0.881 0.693 0.189
O7 O 0.933 0.238 0.306
O8 O 0.933 0.627 0.694
# Total moment in μB per cell: 3.1
# Symmetry: No. 119
# Crystal system: tetragonal
# VASP energy in eV/atom: -5.75

Record 2
# FeCu2AsO6 PBE with a Hubbard U optimized geometry
data_FeCu2AsO6
_space_group_name_H-M_alt 'P 1'
_space_group_IT_number 1
_space_group_name_Hall 'P 1'
_cell_length_a 5.414
_cell_length_b 5.414
_cell_length_c 5.414
_cell_angle_alpha 55.93
_cell_angle_beta 55.93
_cell_angle_gamma 55.93
loop_
_atom_site_label
_atom_site_type_symbol
_atom_site_fract_x
_atom_site_fract_y
_atom_site_fract_z
Fe1 Fe 0.000 0.000 0.000
Cu1 Cu 0.283 0.283 0.283
Cu2 Cu 0.795 0.795 0.795
As1 As 0.491 0.491 0.491
O1 O 0.117 0.700 0.389
O2 O 0.229 0.600 0.852
O3 O 0.389 0.117 0.700
O4 O 0.600 0.852 0.229
O5 O 0.700 0.389 0.117
O6 O 0.852 0.229 0.600
# Total moment in μB per cell: 7.1
# Symmetry: No. 146
# Crystal system: trigonal
# VASP energy in eV/atom: -5.74

Record 3
# FeCuAs2O6 PBE with a Hubbard U optimized geometry
data_FeCuAs2O6
_space_group_name_H-M_alt 'P 1'
_space_group_IT_number 1
_space_group_name_Hall 'P 1'
_cell_length_a 6.645
_cell_length_b 6.645
_cell_length_c 5.505
_cell_angle_alpha 91.50
_cell_angle_beta 91.50
_cell_angle_gamma 81.08
loop_
_atom_site_label
_atom_site_type_symbol
_atom_site_fract_x
_atom_site_fract_y
_atom_site_fract_z
Fe1 Fe 0.246 0.754 0.750
Fe2 Fe 0.754 0.246 0.250
Cu1 Cu 0.391 0.609 0.250
Cu2 Cu 0.609 0.391 0.750
As1 As 0.167 0.314 0.506
As2 As 0.314 0.167 0.006
As3 As 0.686 0.833 0.994
As4 As 0.833 0.686 0.494
O1 O 0.072 0.217 0.200
O2 O 0.126 0.611 0.422
O3 O 0.217 0.072 0.700
O4 O 0.294 0.418 0.816
O5 O 0.389 0.874 0.078
O6 O 0.418 0.294 0.316
O7 O 0.582 0.706 0.684
O8 O 0.611 0.126 0.922
O9 O 0.706 0.582 0.184
O10 O 0.783 0.928 0.300
O11 O 0.874 0.389 0.578
O12 O 0.928 0.783 0.800
# Total moment in μB per cell: 7.5
# Symmetry: No. 15
# Crystal system: monoclinic
# VASP energy in eV/atom: -5.82

- Among the records above, which one has the lowest total moment?
  FeCuAs2O8

- What is the formula in the first record?
  FeCuAs2O8